(1)
Ce2USi3Ir4: relaxed, PBE-GGA.

a = 4.167 Å, b = 4.167 Å, c = 10.781 Å
α = 90.00°, β = 90.00°, γ = 90.00°
Fractional positions:
Ce (0.000, 0.500, 0.235)
Ce (0.500, 0.000, 0.765)
U (0.000, 0.000, 0.500)
Si (0.000, 0.500, 0.881)
Si (0.500, 0.000, 0.119)
Si (0.500, 0.500, 0.500)
Ir (0.000, 0.000, 0.000)
Ir (0.000, 0.500, 0.657)
Ir (0.500, 0.000, 0.343)
Ir (0.500, 0.500, 0.000)

formation energy without anion corrections = -19.9 kcal/mol of atoms
E = -0.6139 Ry per atom
total moment = 2.9 μB per cell

(2)
CeU2Si2Ir7: relaxed, PBE-GGA.

a = 4.054 Å, b = 4.054 Å, c = 12.903 Å
α = 93.83°, β = 93.83°, γ = 88.87°
Fractional positions:
Ce (0.000, 0.000, 0.000)
U (0.062, 0.062, 0.348)
U (0.938, 0.938, 0.652)
Si (0.446, 0.446, 0.734)
Si (0.554, 0.554, 0.266)
Ir (0.035, 0.534, 0.168)
Ir (0.316, 0.316, 0.554)
Ir (0.466, 0.965, 0.832)
Ir (0.500, 0.500, 0.000)
Ir (0.534, 0.035, 0.168)
Ir (0.684, 0.684, 0.446)
Ir (0.965, 0.466, 0.832)

formation energy without anion corrections = -14.0 kcal/mol of atoms
E = -0.6656 Ry per atom
total moment = 2.0 μB per cell

(3)
Ce2VSi4Ir3: relaxed, PBE-GGA.

a = 4.159 Å, b = 4.159 Å, c = 10.051 Å
α = 90.00°, β = 90.00°, γ = 90.00°
Fractional positions:
Ce (0.000, 0.500, 0.246)
Ce (0.500, 0.000, 0.754)
V (0.000, 0.000, 0.500)
Si (0.000, 0.000, 0.000)
Si (0.000, 0.500, 0.634)
Si (0.500, 0.000, 0.366)
Si (0.500, 0.500, 0.000)
Ir (0.000, 0.500, 0.876)
Ir (0.500, 0.000, 0.124)
Ir (0.500, 0.500, 0.500)

formation energy without anion corrections = -20.6 kcal/mol of atoms
E = -0.5748 Ry per atom
total moment = 1.3 μB per cell

(4)
Ce2Y2Si4Ir: relaxed, PBE-GGA.

a = 6.436 Å, b = 6.436 Å, c = 6.436 Å
α = 113.27°, β = 113.27°, γ = 102.11°
Fractional positions:
Ce (0.168, 0.168, 0.000)
Ce (0.832, 0.832, 0.000)
Y (0.250, 0.750, 0.500)
Y (0.750, 0.250, 0.500)
Si (0.259, 0.259, 0.518)
Si (0.259, 0.741, 0.000)
Si (0.741, 0.259, 0.000)
Si (0.741, 0.741, 0.482)
Ir (0.500, 0.500, 0.000)

formation energy without anion corrections = -9.3 kcal/mol of atoms
E = -0.4816 Ry per atom
total moment = 0.8 μB per cell

(5)
Ce2Y2SiIr4: relaxed, PBE-GGA.

a = 6.450 Å, b = 6.450 Å, c = 6.450 Å
α = 121.10°, β = 121.10°, γ = 88.11°
Fractional positions:
Ce (0.193, 0.193, 0.000)
Ce (0.807, 0.807, 0.000)
Y (0.250, 0.750, 0.500)
Y (0.750, 0.250, 0.500)
Si (0.500, 0.500, 0.000)
Ir (0.239, 0.239, 0.479)
Ir (0.239, 0.761, 0.000)
Ir (0.761, 0.239, 0.000)
Ir (0.761, 0.761, 0.521)

formation energy without anion corrections = -10.1 kcal/mol of atoms
E = -0.5684 Ry per atom
total moment = 0.6 μB per cell

(6)
CeZnSi2Ir5: relaxed, PBE-GGA.

a = 3.950 Å, b = 3.950 Å, c = 10.620 Å
α = 90.00°, β = 90.00°, γ = 90.00°
Fractional positions:
Ce (0.000, 0.000, 0.000)
Zn (0.000, 0.000, 0.500)
Si (0.500, 0.500, 0.223)
Si (0.500, 0.500, 0.777)
Ir (0.000, 0.500, 0.343)
Ir (0.000, 0.500, 0.657)
Ir (0.500, 0.000, 0.343)
Ir (0.500, 0.000, 0.657)
Ir (0.500, 0.500, 0.000)

formation energy without anion corrections = -6.7 kcal/mol of atoms
E = -0.5305 Ry per atom
total moment = 0.3 μB per cell

(7)
Ce2ZnSi3Ir4: relaxed, PBE-GGA.

a = 4.143 Å, b = 4.143 Å, c = 10.152 Å
α = 90.00°, β = 90.00°, γ = 90.00°
Fractional positions:
Ce (0.000, 0.500, 0.244)
Ce (0.500, 0.000, 0.756)
Zn (0.500, 0.500, 0.000)
Si (0.000, 0.000, 0.000)
Si (0.000, 0.500, 0.627)
Si (0.500, 0.000, 0.373)
Ir (0.000, 0.000, 0.500)
Ir (0.000, 0.500, 0.860)
Ir (0.500, 0.000, 0.140)
Ir (0.500, 0.500, 0.500)

formation energy without anion corrections = -21.4 kcal/mol of atoms
E = -0.5450 Ry per atom
total moment = 0.7 μB per cell

(8)
Ce2ZnSi4Ir3: relaxed, PBE-GGA.

a = 4.169 Å, b = 4.169 Å, c = 10.004 Å
α = 90.00°, β = 90.00°, γ = 90.00°
Fractional positions:
Ce (0.000, 0.500, 0.246)
Ce (0.500, 0.000, 0.754)
Zn (0.000, 0.000, 0.500)
Si (0.000, 0.000, 0.000)
Si (0.000, 0.500, 0.637)
Si (0.500, 0.000, 0.363)
Si (0.500, 0.500, 0.000)
Ir (0.000, 0.500, 0.876)
Ir (0.500, 0.000, 0.124)
Ir (0.500, 0.500, 0.500)

formation energy without anion corrections = -20.4 kcal/mol of atoms
E = -0.5164 Ry per atom
total moment = 0.0 μB per cell

(9)
CeSm3Ir2: relaxed, PBE-GGA.

a = 8.534 Å, b = 8.534 Å, c = 8.534 Å
α = 132.19°, β = 68.76°, γ = 133.69°
Fractional positions:
Ce (0.250, 0.250, 0.000)
Ce (0.750, 0.750, 0.000)
Sm (0.193, 0.194, 0.387)
Sm (0.250, 0.750, 0.500)
Sm (0.307, 0.694, 0.000)
Sm (0.693, 0.306, 0.000)
Sm (0.750, 0.250, 0.500)
Sm (0.807, 0.806, 0.613)
Ir (0.114, 0.775, 0.889)
Ir (0.386, 0.275, 0.662)
Ir (0.614, 0.725, 0.338)
Ir (0.886, 0.225, 0.111)

E = -0.5002 Ry per atom
energy of formation = -0.504 eV/atom
total moment = 0.0 μB per cell

(10)
Ce5SmIr4: relaxed, PBE-GGA.

a = 9.452 Å, b = 9.452 Å, c = 7.648 Å
α = 113.79°, β = 113.79°, γ = 25.71°
Fractional positions:
Ce (0.000, 0.000, 0.000)
Ce (0.334, 0.334, 0.093)
Ce (0.335, 0.335, 0.577)
Ce (0.665, 0.665, 0.423)
Ce (0.666, 0.666, 0.907)
Sm (0.000, 0.000, 0.500)
Ir (0.200, 0.200, 0.699)
Ir (0.500, 0.500, 0.232)
Ir (0.500, 0.500, 0.768)
Ir (0.800, 0.800, 0.301)

E = -0.5550 Ry per atom
energy of formation = -0.567 eV/atom
total moment = 3.4 μB per cell

(11)
Ce3SmIr8: relaxed, PBE-GGA.

a = 9.346 Å, b = 9.346 Å, c = 9.346 Å
α = 33.59°, β = 33.59°, γ = 33.59°
Fractional positions:
Ce (0.000, 0.000, 0.000)
Ce (0.125, 0.125, 0.125)
Ce (0.625, 0.625, 0.625)
Sm (0.500, 0.500, 0.500)
Ir (0.061, 0.562, 0.562)
Ir (0.062, 0.062, 0.564)
Ir (0.062, 0.564, 0.062)
Ir (0.312, 0.312, 0.312)
Ir (0.562, 0.061, 0.562)
Ir (0.562, 0.562, 0.061)
Ir (0.564, 0.062, 0.062)
Ir (0.812, 0.812, 0.812)

E = -0.6283 Ry per atom
energy of formation = -0.764 eV/atom
total moment = 0.1 μB per cell

(12)
CeSm2Ir2: relaxed, PBE-GGA.

a = 6.671 Å, b = 6.671 Å, c = 11.465 Å
α = 120.25°, β = 120.25°, γ = 34.94°
Fractional positions:
Ce (0.199, 0.199, 0.356)
Ce (0.801, 0.801, 0.644)
Sm (0.333, 0.333, 0.922)
Sm (0.457, 0.457, 0.307)
Sm (0.543, 0.543, 0.693)
Sm (0.667, 0.667, 0.078)
Ir (0.014, 0.014, 0.884)
Ir (0.131, 0.131, 0.566)
Ir (0.869, 0.869, 0.434)
Ir (0.986, 0.986, 0.116)

E = -0.5326 Ry per atom
energy of formation = -0.628 eV/atom
total moment = 0.0 μB per cell

(13)
Ce3Sm2Ir2: relaxed, PBE-GGA.

a = 6.106 Å, b = 6.106 Å, c = 8.700 Å
α = 114.13°, β = 114.13°, γ = 39.22°
Fractional positions:
Ce (0.000, 0.000, 0.000)
Ce (0.159, 0.159, 0.456)
Ce (0.841, 0.841, 0.544)
Sm (0.351, 0.351, 0.200)
Sm (0.649, 0.649, 0.800)
Ir (0.339, 0.339, 0.818)
Ir (0.661, 0.661, 0.182)

E = -0.5071 Ry per atom
energy of formation = -0.477 eV/atom
total moment = 0.0 μB per cell

(14)
CeSm8Ir6: relaxed, PBE-GGA.

a = 7.877 Å, b = 7.877 Å, c = 7.877 Å
α = 64.21°, β = 64.21°, γ = 64.21°
Fractional positions:
Ce (0.000, 0.000, 0.000)
Sm (0.104, 0.460, 0.773)
Sm (0.227, 0.896, 0.540)
Sm (0.338, 0.338, 0.338)
Sm (0.460, 0.773, 0.104)
Sm (0.540, 0.227, 0.896)
Sm (0.662, 0.662, 0.662)
Sm (0.773, 0.104, 0.460)
Sm (0.896, 0.540, 0.227)
Ir (0.057, 0.733, 0.377)
Ir (0.267, 0.623, 0.943)
Ir (0.377, 0.057, 0.733)
Ir (0.623, 0.943, 0.267)
Ir (0.733, 0.377, 0.057)
Ir (0.943, 0.267, 0.623)

E = -0.5233 Ry per atom
energy of formation = -0.662 eV/atom
total moment = 0.0 μB per cell

(15)
CeSm3Ir8: relaxed, PBE-GGA.

a = 9.360 Å, b = 9.360 Å, c = 9.360 Å
α = 33.60°, β = 33.60°, γ = 33.60°
Fractional positions:
Ce (0.000, 0.000, 0.000)
Sm (0.376, 0.376, 0.376)
Sm (0.500, 0.500, 0.500)
Sm (0.875, 0.875, 0.875)
Ir (0.188, 0.188, 0.188)
Ir (0.436, 0.938, 0.938)
Ir (0.437, 0.437, 0.940)
Ir (0.437, 0.940, 0.437)
Ir (0.688, 0.688, 0.688)
Ir (0.938, 0.436, 0.938)
Ir (0.938, 0.938, 0.436)
Ir (0.940, 0.437, 0.437)

E = -0.6124 Ry per atom
energy of formation = -0.750 eV/atom
total moment = 0.0 μB per cell

(16)
Ce4Sm3Ir4: relaxed, PBE-GGA.

a = 8.906 Å, b = 8.906 Å, c = 8.906 Å
α = 149.68°, β = 129.89°, γ = 59.70°
Fractional positions:
Ce (0.052, 0.835, 0.217)
Ce (0.382, 0.165, 0.217)
Ce (0.618, 0.835, 0.783)
Ce (0.948, 0.165, 0.783)
Sm (0.000, 0.500, 0.500)
Sm (0.401, 0.401, 0.000)
Sm (0.599, 0.599, 0.000)
Ir (0.204, 0.704, 0.500)
Ir (0.311, 0.000, 0.311)
Ir (0.689, 0.000, 0.689)
Ir (0.796, 0.296, 0.500)

E = -0.5312 Ry per atom
energy of formation = -0.560 eV/atom
total moment = 0.1 μB per cell

(17)
Ce2Sm2Ir3: relaxed, PBE-GGA.

a = 7.575 Å, b = 7.575 Å, c = 7.575 Å
α = 109.47°, β = 109.47°, γ = 109.47°
Fractional positions:
Ce (0.000, 0.884, 0.500)
Ce (0.500, 0.000, 0.884)
Ce (0.616, 0.616, 0.616)
Ce (0.884, 0.500, 0.000)
Sm (0.000, 0.373, 0.500)
Sm (0.127, 0.127, 0.127)
Sm (0.373, 0.500, 0.000)
Sm (0.500, 0.000, 0.373)
Ir (0.120, 0.750, 0.870)
Ir (0.250, 0.630, 0.380)
Ir (0.380, 0.250, 0.630)
Ir (0.630, 0.380, 0.250)
Ir (0.750, 0.870, 0.120)
Ir (0.870, 0.120, 0.750)

E = -0.5531 Ry per atom
energy of formation = -0.684 eV/atom
total moment = 2.3 μB per cell

(18)
Ce2Sm3Ir4: relaxed, PBE-GGA.

a = 8.314 Å, b = 8.314 Å, c = 6.136 Å
α = 100.46°, β = 100.46°, γ = 30.89°
Fractional positions:
Ce (0.171, 0.171, 0.094)
Ce (0.829, 0.829, 0.906)
Sm (0.382, 0.382, 0.446)
Sm (0.500, 0.500, 0.000)
Sm (0.618, 0.618, 0.554)
Ir (0.001, 0.001, 0.715)
Ir (0.241, 0.241, 0.689)
Ir (0.759, 0.759, 0.311)
Ir (0.999, 0.999, 0.285)

E = -0.5477 Ry per atom
energy of formation = -0.622 eV/atom
total moment = 0.7 μB per cell

(19)
CeSm2Ir: relaxed, PBE-GGA.

a = 10.813 Å, b = 10.813 Å, c = 10.813 Å
α = 20.33°, β = 20.33°, γ = 20.33°
Fractional positions:
Ce (0.000, 0.000, 0.000)
Sm (0.113, 0.113, 0.113)
Sm (0.887, 0.887, 0.887)
Ir (0.500, 0.500, 0.500)

E = -0.4474 Ry per atom
energy of formation = -0.029 eV/atom
total moment = 2.1 μB per cell

(20)
Ce2Sm2Ir3: relaxed, PBE-GGA.

a = 6.904 Å, b = 6.904 Å, c = 7.222 Å
α = 99.41°, β = 99.41°, γ = 34.28°
Fractional positions:
Ce (0.129, 0.129, 0.403)
Ce (0.871, 0.871, 0.597)
Sm (0.364, 0.364, 0.138)
Sm (0.636, 0.636, 0.862)
Ir (0.266, 0.266, 0.750)
Ir (0.500, 0.500, 0.500)
Ir (0.734, 0.734, 0.250)

E = -0.5504 Ry per atom
energy of formation = -0.647 eV/atom
total moment = 0.0 μB per cell